# 1
Entry from the Alexandria database: an optimized crystal structure of Cr2AsOs (PBE).

POSCAR file:
```
Cr2AsOs
1.0
2.8421 0.0000 0.0000
0.0000 3.8329 0.0000
0.0000 0.0000 4.9640
Cr As Os
2 1 1
direct
0.5000 0.5000 0.2654
0.0000 0.0000 0.9882
0.5000 0.5000 0.7657
0.0000 0.0000 0.4807
```

## Properties
DOS at the Fermi energy ... 1.006 states/eV/atom
Formation enthalpy at 0 K ... 0.240 eV/atom
VASP energy ... -34.17 eV per formula unit

---

# 2
Entry from the Alexandria database: an optimized crystal structure of CrAs2Os (PBE).

POSCAR file:
```
CrAs2Os
1.0
-1.2574 -2.2035 -1.5830
2.3507 1.4722 -1.1177
4.8846 -5.2243 3.3918
As Cr Os
2 1 1
direct
0.0000 0.0000 0.0076
0.0000 0.0000 0.4924
0.5000 0.5000 0.2500
0.5000 0.5000 0.7500
```

## Properties
DOS at the Fermi energy ... 0.911 states/eV/atom
Formation enthalpy at 0 K ... 0.546 eV/atom
VASP energy ... -27.97 eV per formula unit

---

# 3
Entry from the Alexandria database: an optimized crystal structure of CrAsOs2 (PBE).

POSCAR file:
```
CrAsOs2
1.0
2.7173 0.0014 0.0000
-1.2825 2.3957 0.0000
0.0000 0.0000 9.1546
Os Cr As
2 1 1
direct
0.0000 0.0000 0.5252
0.0000 0.0000 0.9748
0.5000 0.5000 0.7500
0.5000 0.5000 0.2500
```

## Properties
DOS at the Fermi energy ... 1.223 states/eV/atom
Formation enthalpy at 0 K ... 0.575 eV/atom
VASP energy ... -34.43 eV per formula unit

---

# 4
Entry from the Alexandria database: an optimized crystal structure of CrAs2Os (PBE).

POSCAR file:
```
CrAs2Os
1.0
-3.3169 -0.6598 2.4785
-3.0071 -2.8967 0.3833
2.1301 -3.1374 3.6644
As Os Cr
2 1 1
direct
0.4937 0.4937 0.5091
0.0063 0.0063 0.9909
0.7500 0.7500 0.7500
0.2500 0.2500 0.2500
```

## Properties
DOS at the Fermi energy ... 0.598 states/eV/atom
Formation enthalpy at 0 K ... 0.248 eV/atom
VASP energy ... -29.16 eV per formula unit

---

# 5
Entry from the Alexandria database: an optimized crystal structure of Cr2As2Os (PBE).

POSCAR file:
```
Cr2As2Os
1.0
-4.1533 0.0596 -5.2398
-3.9288 -4.4597 3.0634
-1.7135 2.4618 1.3862
As Cr Os
4 4 2
direct
0.3474 0.8474 0.0000
0.8474 0.6526 0.0000
0.1526 0.3474 0.0000
0.6526 0.1526 0.0000
0.1473 0.6473 0.5000
0.6473 0.8527 0.5000
0.8527 0.3527 0.5000
0.3527 0.1473 0.5000
0.0000 0.0000 0.0000
0.5000 0.5000 0.0000
```

## Properties
DOS at the Fermi energy ... 0.647 states/eV/atom
Formation enthalpy at 0 K ... 0.242 eV/atom
VASP energy ... -38.56 eV per formula unit

---

# 6
Entry from the Alexandria database: an optimized crystal structure of CrAsOs2 (PBE).

POSCAR file:
```
CrAsOs2
1.0
-3.0869 -1.1243 2.1184
-0.9394 -1.4929 -2.1613
2.1994 -4.8816 0.6141
Os As Cr
2 1 1
direct
0.5000 0.4439 0.2377
0.0000 0.0617 0.0019
0.0000 0.2948 0.5353
0.5000 0.6996 0.7252
```

## Properties
DOS at the Fermi energy ... 0.851 states/eV/atom
Formation enthalpy at 0 K ... 0.206 eV/atom
VASP energy ... -35.91 eV per formula unit

---

# 7
Entry from the Alexandria database: an optimized crystal structure of Cr2AsOs (PBE).

POSCAR file:
```
Cr2AsOs
1.0
-2.4487 0.4895 -1.5792
0.6143 -2.3507 -1.6812
-3.1137 -3.4924 3.7455
Os Cr As
1 2 1
direct
0.0000 0.0000 0.4883
0.0000 0.0000 0.0013
0.5000 0.5000 0.2346
0.5000 0.5000 0.7758
```

## Properties
DOS at the Fermi energy ... 0.639 states/eV/atom
Formation enthalpy at 0 K ... 0.160 eV/atom
VASP energy ... -34.49 eV per formula unit

---

# 8
Entry from the Alexandria database: an optimized crystal structure of Cr2AsOs (PBE).

POSCAR file:
```
Cr2AsOs
1.0
-3.9854 -1.0856 1.8199
1.5029 -3.5281 -2.3807
1.3177 -0.9881 2.2962
Cr As Os
2 1 1
direct
0.0000 0.0000 0.0000
0.5000 0.5000 0.0000
0.0000 0.5000 0.5000
0.5000 0.0000 0.5000
```

## Properties
DOS at the Fermi energy ... 1.214 states/eV/atom
Formation enthalpy at 0 K ... 0.216 eV/atom
VASP energy ... -34.26 eV per formula unit